# 1
Ac2PmPtO5: optimized geometry, GGA-PBE.

Calculated values
Size of the total moment = 0.51 μB/f.u.
Symmetry = No. 127
E_tot = -0.2642 hartree per atom
Calculated density = 9.84 g/cm3

abc: 7.127 7.127 5.811
angles: 90.00 90.00 90.00
Positions (direct):
Ac 0.170 0.330 0.000
Ac 0.330 0.830 0.000
Ac 0.670 0.170 0.000
Ac 0.830 0.670 0.000
Pm 0.000 0.000 0.500
Pm 0.500 0.500 0.500
Pt 0.000 0.500 0.500
Pt 0.500 0.000 0.500
O 0.000 0.000 0.000
O 0.147 0.647 0.261
O 0.147 0.647 0.739
O 0.353 0.147 0.261
O 0.353 0.147 0.739
O 0.500 0.500 0.000
O 0.647 0.853 0.261
O 0.647 0.853 0.739
O 0.853 0.353 0.261
O 0.853 0.353 0.739

# 2
AcPm2PtO8: optimized geometry, GGA-PBE.

Calculated values
Size of the total moment = 0.00 μB/f.u.
Symmetry = No. 2
E_tot = -0.2611 hartree per atom
Calculated density = 7.96 g/cm3

abc: 4.419 5.469 7.258
angles: 90.05 90.02 91.19
Positions (direct):
Ac 0.000 0.000 0.000
Pm 0.500 0.500 0.246
Pm 0.500 0.500 0.754
Pt 0.000 0.000 0.500
O 0.033 0.744 0.297
O 0.034 0.744 0.703
O 0.420 0.115 0.500
O 0.487 0.256 0.000
O 0.513 0.744 0.000
O 0.580 0.885 0.500
O 0.966 0.256 0.297
O 0.967 0.256 0.703

# 3
AcPmPtO: optimized geometry, GGA-PBE.

Calculated values
Size of the total moment = 0.00 μB/f.u.
Symmetry = No. 129
E_tot = -0.2487 hartree per atom
Calculated density = 9.49 g/cm3

abc: 4.702 4.702 9.229
angles: 90.00 90.00 90.00
Positions (direct):
Ac 0.250 0.250 0.108
Ac 0.750 0.750 0.892
Pm 0.250 0.750 0.500
Pm 0.750 0.250 0.500
Pt 0.250 0.250 0.680
Pt 0.750 0.750 0.320
O 0.250 0.750 0.000
O 0.750 0.250 0.000

# 4
Ac2PmPuO8: optimized geometry, GGA-PBE.

Calculated values
Size of the total moment = 1.00 μB/f.u.
Symmetry = No. 10
E_tot = -0.3151 hartree per atom
Calculated density = 8.60 g/cm3

abc: 4.228 7.726 5.777
angles: 90.00 96.42 90.00
Positions (direct):
Ac 0.000 0.248 0.000
Ac 0.000 0.752 0.000
Pm 0.500 0.000 0.500
Pu 0.500 0.500 0.500
O 0.023 0.000 0.253
O 0.095 0.500 0.302
O 0.446 0.286 0.722
O 0.446 0.714 0.722
O 0.554 0.286 0.278
O 0.554 0.714 0.278
O 0.905 0.500 0.698
O 0.977 0.000 0.747

# 5
Rb3Ac2PmO6: optimized geometry, GGA-PBE.

Calculated values
Size of the total moment = 0.00 μB/f.u.
Symmetry = No. 12
E_tot = -0.2331 hartree per atom
Calculated density = 6.33 g/cm3

abc: 6.591 6.591 6.992
angles: 99.00 99.00 120.03
Positions (direct):
Rb 0.000 0.000 0.000
Rb 0.337 0.663 0.000
Rb 0.663 0.337 0.000
Ac 0.167 0.833 0.500
Ac 0.833 0.167 0.500
Pm 0.500 0.500 0.500
O 0.119 0.439 0.317
O 0.241 0.241 0.683
O 0.439 0.119 0.317
O 0.561 0.881 0.683
O 0.759 0.759 0.317
O 0.881 0.561 0.683

# 6
Rb4Ac3PmO8: optimized geometry, GGA-PBE.

Calculated values
Size of the total moment = 0.00 μB/f.u.
Symmetry = No. 166
E_tot = -0.2323 hartree per atom
Calculated density = 6.38 g/cm3

abc: 7.981 7.981 7.981
angles: 57.32 57.32 57.32
Positions (direct):
Rb 0.000 0.000 0.000
Rb 0.000 0.500 0.500
Rb 0.500 0.000 0.500
Rb 0.500 0.500 0.000
Ac 0.000 0.000 0.500
Ac 0.000 0.500 0.000
Ac 0.500 0.000 0.000
Pm 0.500 0.500 0.500
O 0.229 0.229 0.229
O 0.239 0.722 0.722
O 0.278 0.278 0.761
O 0.278 0.761 0.278
O 0.722 0.239 0.722
O 0.722 0.722 0.239
O 0.761 0.278 0.278
O 0.771 0.771 0.771

# 7
AcPm2ReO8: optimized geometry, GGA-PBE.

Calculated values
Size of the total moment = 0.00 μB/f.u.
Symmetry = No. 65
E_tot = -0.3005 hartree per atom
Calculated density = 7.10 g/cm3

abc: 5.215 5.215 7.146
angles: 90.00 90.00 90.96
Positions (direct):
Ac 0.000 0.000 0.000
Pm 0.500 0.500 0.252
Pm 0.500 0.500 0.748
Re 0.000 0.000 0.500
O 0.181 0.181 0.306
O 0.181 0.181 0.694
O 0.255 0.745 0.500
O 0.319 0.681 0.000
O 0.681 0.319 0.000
O 0.745 0.255 0.500
O 0.819 0.819 0.306
O 0.819 0.819 0.694

# 8
Ac2PmReO8: optimized geometry, GGA-PBE.

Calculated values
Size of the total moment = 0.00 μB/f.u.
Symmetry = No. 10
E_tot = -0.2969 hartree per atom
Calculated density = 7.34 g/cm3

abc: 5.374 7.153 5.378
angles: 90.00 90.91 90.00
Positions (direct):
Ac 0.000 0.243 0.000
Ac 0.000 0.757 0.000
Pm 0.500 0.500 0.500
Re 0.500 0.000 0.500
O 0.197 0.500 0.198
O 0.250 0.000 0.252
O 0.331 0.199 0.670
O 0.331 0.801 0.670
O 0.669 0.199 0.330
O 0.669 0.801 0.330
O 0.750 0.000 0.748
O 0.803 0.500 0.802

Results for formation energy without anion corrections: -2.3218; -2.1615; -1.8042; -2.9944; -2.5415; -2.5326; -2.7003; -2.6546 (in eV per atom, following the order of the records).